[1]
{"formula": "Ni2HIrRh", "functional": "PBE", "state": "relaxed", "lattice": [[4.5844, 0.0000, 0.0000], [0.0000, 4.5844, 0.0000], [0.0000, 0.0000, 4.6674]], "species": ["Ni", "Ni", "H", "Ir", "Rh"], "fractional_positions": [[0.0000, 0.5000, 0.0000], [0.5000, 0.0000, 0.0000], [0.0000, 0.0000, 0.5000], [0.5000, 0.5000, 0.5000], [0.5000, 0.5000, 0.0000]], "rho_g_cm3": 7.00, "space_group": "P4/mmm, No. 123", "total_energy_ev_per_atom": -4.2579}

---

[2]
{"formula": "NaZrTc2O8", "functional": "PBE", "state": "relaxed", "lattice": [[5.8522, 0.0000, 0.0000], [-2.9261, 5.0682, 0.0000], [0.0000, 0.0000, 6.7322]], "species": ["Na", "Zr", "Tc", "Tc", "O", "O", "O", "O", "O", "O", "O", "O"], "fractional_positions": [[0.0000, 0.0000, 0.0000], [0.0000, 0.0000, 0.5000], [0.3333, 0.6667, 0.7862], [0.6667, 0.3333, 0.2138], [0.1638, 0.3276, 0.6923], [0.1638, 0.8362, 0.6923], [0.3276, 0.1638, 0.3077], [0.3333, 0.6667, 0.0445], [0.6667, 0.3333, 0.9555], [0.6724, 0.8362, 0.6923], [0.8362, 0.1638, 0.3077], [0.8362, 0.6724, 0.3077]], "rho_g_cm3": 3.64, "space_group": "P-3m1, No. 164", "formation_energy_uncorrected_ev_per_atom": -1.807}

---

[3]
{"formula": "HgHPt2I", "functional": "PBE", "state": "relaxed", "lattice": [[5.1538, 0.0000, 0.0000], [0.0000, 5.1538, 0.0000], [0.0000, 0.0000, 3.6029]], "species": ["Hg", "H", "Pt", "Pt", "I"], "fractional_positions": [[0.0000, 0.0000, 0.0000], [0.5000, 0.5000, 0.0000], [0.0000, 0.5000, 0.5000], [0.5000, 0.0000, 0.5000], [0.5000, 0.5000, 0.5000]], "rho_g_cm3": 12.47, "space_group": "P4/mmm, No. 123", "total_energy_ev_per_atom": -2.8013}

---

[4]
{"formula": "Pm2GaSe4", "functional": "PBE", "state": "relaxed", "lattice": [[6.7671, 0.0000, 0.0000], [0.0000, 6.8309, 0.0000], [-2.3708, 0.0000, 7.7584]], "species": ["Pm", "Pm", "Pm", "Pm", "Ga", "Ga", "Se", "Se", "Se", "Se", "Se", "Se", "Se", "Se"], "fractional_positions": [[0.2185, 0.2500, 0.0480], [0.2536, 0.2500, 0.5689], [0.7464, 0.7500, 0.4311], [0.7815, 0.7500, 0.9520], [0.2729, 0.7500, 0.3200], [0.7271, 0.2500, 0.6800], [0.0059, 0.0050, 0.2586], [0.0059, 0.4950, 0.2586], [0.4214, 0.7500, 0.0739], [0.4334, 0.7500, 0.6404], [0.5666, 0.2500, 0.3596], [0.5786, 0.2500, 0.9261], [0.9941, 0.5050, 0.7414], [0.9941, 0.9950, 0.7414]], "rho_g_cm3": 6.26, "space_group": "P2_1/m, No. 11", "formation_energy_uncorrected_ev_per_atom": -1.309}

---

[5]
{"formula": "NpPaCoRh", "functional": "PBE", "state": "relaxed", "lattice": [[0.0000, 3.2272, 3.2272], [3.2272, 0.0000, 3.2272], [3.2272, 3.2272, 0.0000]], "species": ["Np", "Pa", "Co", "Rh"], "fractional_positions": [[0.0000, 0.0000, 0.0000], [0.2500, 0.2500, 0.2500], [0.5000, 0.5000, 0.5000], [0.7500, 0.7500, 0.7500]], "rho_g_cm3": 15.56, "space_group": "F-43m, No. 216", "total_energy_ev_per_atom": -9.5739}

---

[6]
{"formula": "KSi2BBr", "functional": "PBE", "state": "relaxed", "lattice": [[5.1343, 0.0000, 0.0000], [0.0000, 5.1343, 0.0000], [0.0000, 0.0000, 5.8171]], "species": ["K", "Si", "Si", "B", "Br"], "fractional_positions": [[0.0000, 0.0000, 0.0000], [0.0000, 0.5000, 0.5000], [0.5000, 0.0000, 0.5000], [0.5000, 0.5000, 0.0000], [0.0000, 0.0000, 0.5000]], "rho_g_cm3": 2.01, "space_group": "P4/mmm, No. 123", "formation_energy_uncorrected_ev_per_atom": 1.635}

---

[7]
{"formula": "La2BAu", "functional": "PBE", "state": "relaxed", "lattice": [[-3.7440, 3.7440, 3.9536], [3.7440, -3.7440, 3.9536], [3.7440, 3.7440, -3.9536]], "species": ["La", "La", "La", "La", "B", "B", "Au", "Au"], "fractional_positions": [[0.0715, 0.6250, 0.9465], [0.3750, 0.3215, 0.4465], [0.6785, 0.1250, 0.0535], [0.8750, 0.9285, 0.5535], [0.0000, 0.0000, 0.0000], [0.7500, 0.2500, 0.5000], [0.2500, 0.7500, 0.5000], [0.5000, 0.5000, 0.0000]], "rho_g_cm3": 7.27, "space_group": "I-42d, No. 122", "total_energy_ev_per_atom": -4.9759}

---

[8]
{"formula": "Tb2ErTm2Mg5", "functional": "PBE", "state": "relaxed", "lattice": [[10.5122, 0.0000, 0.0000], [0.0000, 10.5122, 0.0000], [0.0000, 0.0000, 5.0348]], "species": ["Tb", "Tb", "Tb", "Tb", "Er", "Er", "Tm", "Tm", "Tm", "Tm", "Mg", "Mg", "Mg", "Mg", "Mg", "Mg", "Mg", "Mg", "Mg", "Mg"], "fractional_positions": [[0.1779, 0.3221, 0.0000], [0.3221, 0.8221, 0.0000], [0.6779, 0.1779, 0.0000], [0.8221, 0.6779, 0.0000], [0.0000, 0.0000, 0.0000], [0.5000, 0.5000, 0.0000], [0.1182, 0.6182, 0.0000], [0.3818, 0.1182, 0.0000], [0.6182, 0.8818, 0.0000], [0.8818, 0.3818, 0.0000], [0.0000, 0.5000, 0.5000], [0.0713, 0.8022, 0.5000], [0.1978, 0.0713, 0.5000], [0.3022, 0.5713, 0.5000], [0.4287, 0.3022, 0.5000], [0.5000, 0.0000, 0.5000], [0.5713, 0.6978, 0.5000], [0.6978, 0.4287, 0.5000], [0.8022, 0.9287, 0.5000], [0.9287, 0.1978, 0.5000]], "rho_g_cm3": 5.64, "space_group": "P4/mbm, No. 127", "total_energy_ev_per_atom": -3.0022}

---

[9]
{"formula": "HoEr2Th6", "functional": "PBE", "state": "relaxed", "lattice": [[3.5326, 0.0000, 0.0000], [-1.7663, 3.0593, 0.0000], [0.0000, 0.0000, 26.7991]], "species": ["Ho", "Er", "Er", "Th", "Th", "Th", "Th", "Th", "Th"], "fractional_positions": [[0.0000, 0.0000, 0.0000], [0.3333, 0.6667, 0.3295], [0.3333, 0.6667, 0.6705], [0.0000, 0.0000, 0.2196], [0.0000, 0.0000, 0.4377], [0.0000, 0.0000, 0.5623], [0.0000, 0.0000, 0.7804], [0.3333, 0.6667, 0.1099], [0.3333, 0.6667, 0.8901]], "rho_g_cm3": 10.85, "space_group": "P-6m2, No. 187", "total_energy_ev_per_atom": -6.3889}

---

[10]
{"formula": "Sc2MnSi2Ru5", "functional": "PBE", "state": "relaxed", "lattice": [[9.7104, 0.0000, 0.0000], [0.0000, 9.7104, 0.0000], [0.0000, 0.0000, 3.1754]], "species": ["Sc", "Sc", "Sc", "Sc", "Mn", "Mn", "Si", "Si", "Si", "Si", "Ru", "Ru", "Ru", "Ru", "Ru", "Ru", "Ru", "Ru", "Ru", "Ru"], "fractional_positions": [[0.1717, 0.3283, 0.0000], [0.3283, 0.8283, 0.0000], [0.6717, 0.1717, 0.0000], [0.8283, 0.6717, 0.0000], [0.0000, 0.0000, 0.0000], [0.5000, 0.5000, 0.0000], [0.1299, 0.6299, 0.0000], [0.3701, 0.1299, 0.0000], [0.6299, 0.8701, 0.0000], [0.8701, 0.3701, 0.0000], [0.0000, 0.5000, 0.5000], [0.0674, 0.7981, 0.5000], [0.2019, 0.0674, 0.5000], [0.2981, 0.5674, 0.5000], [0.4326, 0.2981, 0.5000], [0.5000, 0.0000, 0.5000], [0.5674, 0.7019, 0.5000], [0.7019, 0.4326, 0.5000], [0.7981, 0.9326, 0.5000], [0.9326, 0.2019, 0.5000]], "rho_g_cm3": 7.84, "space_group": "P4/mbm, No. 127", "formation_energy_uncorrected_ev_per_atom": -0.546}

---

[11]
{"formula": "SiRh2Pb", "functional": "PBE", "state": "relaxed", "lattice": [[2.9815, 0.0000, 0.0000], [0.0000, 3.0126, 0.0000], [-1.2578, 0.0000, 7.4861]], "species": ["Si", "Rh", "Rh", "Pb"], "fractional_positions": [[0.0000, 0.0000, 0.0000], [0.4069, 0.5000, 0.8173], [0.5931, 0.5000, 0.1827], [0.0000, 0.0000, 0.5000]], "rho_g_cm3": 10.89, "space_group": "P2/m, No. 10", "formation_energy_uncorrected_ev_per_atom": -0.357}

---

[12]
{"formula": "BaZn2Cd6", "functional": "PBE", "state": "relaxed", "lattice": [[0.0000, 6.4782, 6.4782], [6.4782, 0.0000, 6.4782], [6.4782, 6.4782, 0.0000]], "species": ["Ba", "Ba", "Zn", "Zn", "Zn", "Zn", "Cd", "Cd", "Cd", "Cd", "Cd", "Cd", "Cd", "Cd", "Cd", "Cd", "Cd", "Cd"], "fractional_positions": [[0.1250, 0.1250, 0.1250], [0.8750, 0.8750, 0.8750], [0.0000, 0.5000, 0.5000], [0.5000, 0.0000, 0.5000], [0.5000, 0.5000, 0.0000], [0.5000, 0.5000, 0.5000], [0.1438, 0.1438, 0.6062], [0.1438, 0.6062, 0.1438], [0.1438, 0.6062, 0.6062], [0.3938, 0.3938, 0.8562], [0.3938, 0.8562, 0.3938], [0.3938, 0.8562, 0.8562], [0.6062, 0.1438, 0.1438], [0.6062, 0.1438, 0.6062], [0.6062, 0.6062, 0.1438], [0.8562, 0.3938, 0.3938], [0.8562, 0.3938, 0.8562], [0.8562, 0.8562, 0.3938]], "rho_g_cm3": 5.76, "space_group": "Fd-3m, No. 227", "total_energy_ev_per_atom": -0.9850}